1.
# SCAN RbYSeN2, single point on PBEsol structure
# Space group: No. 123
# Excess energy over the best structure of this formula in the dataset: 1.4726 eV per atom
# Final energy: -16.0579 eV/atom
# Formation energy without anion corrections: 1.391 eV per atom
# Density of states at the Fermi level: 1.1 states/eV/f.u.
data_RbYSeN2
_chemical_formula_sum 'Rb1 Y1 Se1 N2'
_cell_length_a 4.236
_cell_length_b 4.236
_cell_length_c 5.829
_cell_angle_alpha 90.00
_cell_angle_beta 90.00
_cell_angle_gamma 90.00
_symmetry_space_group_name_H-M 'P 1'
_symmetry_Int_Tables_number 1
_symmetry_space_group_name_Hall 'P 1'
loop_
_atom_site_label
_atom_site_type_symbol
_atom_site_fract_x
_atom_site_fract_y
_atom_site_fract_z
Rb1 Rb 0.000 0.000 0.000
Y1 Y 0.500 0.500 0.500
Se1 Se 0.000 0.000 0.500
N1 N 0.000 0.500 0.000
N2 N 0.500 0.000 0.000



2.
# SCAN Sc2InIr, single point on PBEsol structure
# Energy relative to the elements: -3.01 eV/f.u.
# Space group: No. 216
# Final energy: -33.9937 eV/atom
data_Sc2InIr
_chemical_formula_sum 'Sc2 In1 Ir1'
_cell_length_a 4.649
_cell_length_b 4.649
_cell_length_c 4.649
_cell_angle_alpha 60.00
_cell_angle_beta 60.00
_cell_angle_gamma 60.00
_symmetry_space_group_name_H-M 'P 1'
_symmetry_Int_Tables_number 1
_symmetry_space_group_name_Hall 'P 1'
loop_
_atom_site_label
_atom_site_type_symbol
_atom_site_fract_x
_atom_site_fract_y
_atom_site_fract_z
Sc1 Sc 0.000 0.000 0.000
Sc2 Sc 0.250 0.250 0.250
In1 In 0.500 0.500 0.500
Ir1 Ir 0.750 0.750 0.750



3.
# SCAN Sc2MnP, single point on PBEsol structure
# Energy relative to the elements: -1.63 eV/f.u.
# Space group: No. 99
# Final energy: -14.6885 eV/atom
# Density of states at the Fermi level: 3.4 states/eV/f.u.
data_Sc2MnP
_chemical_formula_sum 'Sc2 Mn1 P1'
_cell_length_a 2.965
_cell_length_b 2.965
_cell_length_c 7.371
_cell_angle_alpha 90.00
_cell_angle_beta 90.00
_cell_angle_gamma 90.00
_symmetry_space_group_name_H-M 'P 1'
_symmetry_Int_Tables_number 1
_symmetry_space_group_name_Hall 'P 1'
loop_
_atom_site_label
_atom_site_type_symbol
_atom_site_fract_x
_atom_site_fract_y
_atom_site_fract_z
Sc1 Sc 0.000 0.000 0.000
Sc2 Sc 0.500 0.500 0.377
Mn1 Mn 0.000 0.000 0.622
P1 P 0.500 0.500 0.755



4.
# SCAN Na3ZrRe, single point on PBEsol structure
# Energy relative to the elements: 9.95 eV/f.u.
# Space group: No. 221
# Excess energy over the best structure of this formula in the dataset: 0.0000 eV per atom
# Final energy: -20.8980 eV/atom
# Density of states at the Fermi level: 3.3 states/eV/f.u.
data_Na3ZrRe
_chemical_formula_sum 'Na3 Zr1 Re1'
_cell_length_a 5.311
_cell_length_b 5.311
_cell_length_c 5.311
_cell_angle_alpha 90.00
_cell_angle_beta 90.00
_cell_angle_gamma 90.00
_symmetry_space_group_name_H-M 'P 1'
_symmetry_Int_Tables_number 1
_symmetry_space_group_name_Hall 'P 1'
loop_
_atom_site_label
_atom_site_type_symbol
_atom_site_fract_x
_atom_site_fract_y
_atom_site_fract_z
Na1 Na 0.000 0.000 0.500
Na2 Na 0.000 0.500 0.000
Na3 Na 0.500 0.000 0.000
Zr1 Zr 0.500 0.500 0.500
Re1 Re 0.000 0.000 0.000



5.
# SCAN TiMn2Mo, single point on PBEsol structure
# Energy relative to the elements: -0.87 eV/f.u.
# Space group: No. 225
# Final energy: -22.0728 eV/atom
# Density of states at the Fermi level: 1.0 states/eV/f.u.
data_TiMn2Mo
_chemical_formula_sum 'Ti1 Mn2 Mo1'
_cell_length_a 4.155
_cell_length_b 4.155
_cell_length_c 4.155
_cell_angle_alpha 60.00
_cell_angle_beta 60.00
_cell_angle_gamma 60.00
_symmetry_space_group_name_H-M 'P 1'
_symmetry_Int_Tables_number 1
_symmetry_space_group_name_Hall 'P 1'
loop_
_atom_site_label
_atom_site_type_symbol
_atom_site_fract_x
_atom_site_fract_y
_atom_site_fract_z
Ti1 Ti 0.000 0.000 0.000
Mn1 Mn 0.250 0.250 0.250
Mn2 Mn 0.750 0.750 0.750
Mo1 Mo 0.500 0.500 0.500



6.
# SCAN DyAgSn, single point on PBEsol structure
# Energy relative to the elements: -2.11 eV/f.u.
# Space group: No. 186
# Final energy: -39.0655 eV/atom
# Density of states at the Fermi level: 0.3 states/eV/f.u.
data_DyAgSn
_chemical_formula_sum 'Dy2 Ag2 Sn2'
_cell_length_a 4.653
_cell_length_b 4.653
_cell_length_c 7.258
_cell_angle_alpha 90.00
_cell_angle_beta 90.00
_cell_angle_gamma 120.00
_symmetry_space_group_name_H-M 'P 1'
_symmetry_Int_Tables_number 1
_symmetry_space_group_name_Hall 'P 1'
loop_
_atom_site_label
_atom_site_type_symbol
_atom_site_fract_x
_atom_site_fract_y
_atom_site_fract_z
Dy1 Dy 0.000 0.000 0.000
Dy2 Dy 0.000 0.000 0.500
Ag1 Ag 0.333 0.667 0.187
Ag2 Ag 0.667 0.333 0.687
Sn1 Sn 0.333 0.667 0.779
Sn2 Sn 0.667 0.333 0.279



7.
# SCAN BeReP, single point on PBEsol structure
# Energy relative to the elements: 0.79 eV/f.u.
# Space group: No. 216
# Excess energy over the best structure of this formula in the dataset: 0.7146 eV per atom
# Final energy: -28.3523 eV/atom
# Density of states at the Fermi level: 1.1 states/eV/f.u.
data_BeReP
_chemical_formula_sum 'Be1 Re1 P1'
_cell_length_a 3.863
_cell_length_b 3.863
_cell_length_c 3.863
_cell_angle_alpha 60.00
_cell_angle_beta 60.00
_cell_angle_gamma 60.00
_symmetry_space_group_name_H-M 'P 1'
_symmetry_Int_Tables_number 1
_symmetry_space_group_name_Hall 'P 1'
loop_
_atom_site_label
_atom_site_type_symbol
_atom_site_fract_x
_atom_site_fract_y
_atom_site_fract_z
Be1 Be 0.000 0.000 0.000
Re1 Re 0.750 0.750 0.750
P1 P 0.500 0.500 0.500



8.
# SCAN CuW2Au, single point on PBEsol structure
# Energy relative to the elements: 1.53 eV/f.u.
# Space group: No. 12
# Excess energy over the best structure of this formula in the dataset: 0.1649 eV per atom
# Final energy: -55.5505 eV/atom
# Density of states at the Fermi level: 2.2 states/eV/f.u.
data_CuW2Au
_chemical_formula_sum 'Cu1 W2 Au1'
_cell_length_a 4.939
_cell_length_b 4.939
_cell_length_c 4.526
_cell_angle_alpha 100.29
_cell_angle_beta 100.29
_cell_angle_gamma 33.61
_symmetry_space_group_name_H-M 'P 1'
_symmetry_Int_Tables_number 1
_symmetry_space_group_name_Hall 'P 1'
loop_
_atom_site_label
_atom_site_type_symbol
_atom_site_fract_x
_atom_site_fract_y
_atom_site_fract_z
Cu1 Cu 0.000 0.000 0.000
W1 W 0.251 0.251 0.754
W2 W 0.749 0.749 0.246
Au1 Au 0.500 0.500 0.500



Which formula does entry 4 have?
Na3ZrRe



Which of these has the highest final energy?
Sc2MnP



Among the records above, which one has the highest final energy?
Sc2MnP



The highest final energy belongs to which entry?
Sc2MnP